[1]
DFT (PBE) results for a relaxed structure of Rb3Ce3HoTe8.

Results
ΔE_f (raw)   -1332.7 meV per atom
Symmetry   R-3m, No. 166

Cell lengths 9.1413, 9.1403, 10.1637 Å; angles 116.72, 90.00, 120.00 degrees
Last column: nearest neighbours and their distance in Å.
Fractional coordinates of all 15 atoms:
Te1 0.7370 0.9671 0.6972  1 Ho 3.12, 2 Ce 3.16
Te2 0.7699 0.5399 0.3028  1 Ho 3.11, 2 Ce 3.16
Te3 0.7345 0.4690 0.7035  3 Ce 3.18
Te4 0.2655 0.5310 0.2965  3 Ce 3.18
Te5 0.2301 0.9671 0.6972  1 Ho 3.11, 2 Ce 3.16
Te6 0.2630 0.0329 0.3028  1 Ho 3.12, 2 Ce 3.16
Te7 0.2301 0.4601 0.6972  1 Ho 3.11, 2 Ce 3.16
Te8 0.7699 0.0329 0.3028  1 Ho 3.11, 2 Ce 3.16
Ho1 0.0000 0.0000 0.5000  6 Te 3.11-3.12
Ce1 0.5000 0.0000 0.5000  6 Te 3.16-3.18
Ce2 0.5000 0.5000 0.5000  6 Te 3.16-3.18
Ce3 0.0000 0.5000 0.5000  6 Te 3.16-3.18
Rb1 0.0000 0.0000 0.0000  6 Te 3.69-3.71
Rb2 0.0000 0.5000 0.0000  6 Te 3.69-3.71
Rb3 0.5000 0.5000 0.0000  6 Te 3.69-3.71

=====

[2]
DFT (PBE) results for a relaxed structure of Rb3Ce2HoTe6.

Results
ΔE_f (raw)   -1347.9 meV per atom
Symmetry   C2/m, No. 12

Cell lengths 8.0309, 8.0309, 8.9453 Å; angles 98.61, 98.61, 120.01 degrees
Last column: nearest neighbours and their distance in Å.
Fractional coordinates of all 12 atoms:
Rb1 0.5000 0.5000 0.5000  6 Te 3.67-3.74
Rb2 0.1686 0.8314 0.5000  6 Te 3.67-3.73
Rb3 0.8314 0.1686 0.5000  6 Te 3.67-3.73
Te1 0.6084 0.9328 0.7981  1 Ho 3.12, 2 Ce 3.21-3.22
Te2 0.0672 0.3916 0.2019  1 Ho 3.12, 2 Ce 3.21-3.22
Te3 0.2565 0.2565 0.7974  1 Ho 3.12, 2 Ce 3.22
Te4 0.7435 0.7435 0.2026  1 Ho 3.12, 2 Ce 3.22
Te5 0.9328 0.6084 0.7981  1 Ho 3.12, 2 Ce 3.21-3.22
Te6 0.3916 0.0672 0.2019  1 Ho 3.12, 2 Ce 3.21-3.22
Ho1 0.0000 0.0000 0.0000  6 Te 3.12
Ce1 0.3336 0.6664 0.0000  6 Te 3.21-3.22
Ce2 0.6664 0.3336 0.0000  6 Te 3.21-3.22

=====

[3]
DFT (PBE) results for a relaxed structure of Rb4CeHo3Te8.

Results
ΔE_f (raw)   -1361.2 meV per atom
Symmetry   R-3m, No. 166

Cell lengths 9.1207, 10.0415, 9.1212 Å; angles 117.02, 120.00, 90.00 degrees
Last column: nearest neighbours and their distance in Å.
Fractional coordinates of all 16 atoms:
Rb1 0.0000 0.0000 0.0000  6 Te 3.69-3.70
Rb2 0.0000 0.0000 0.5000  6 Te 3.69-3.70
Rb3 0.5000 0.0000 0.5000  6 Te 3.69-3.70
Rb4 0.5000 0.0000 0.0000  6 Te 3.62
Te1 0.7621 0.2995 0.5241  2 Ho 3.11, 1 Ce 3.20
Te2 0.7248 0.7005 0.9627  2 Ho 3.11, 1 Ce 3.20
Te3 0.2676 0.3028 0.5351  3 Ho 3.13
Te4 0.7324 0.6972 0.4649  3 Ho 3.13
Te5 0.2379 0.7005 0.9627  2 Ho 3.11, 1 Ce 3.20
Te6 0.7621 0.2995 0.0373  2 Ho 3.11, 1 Ce 3.20
Te7 0.2752 0.2995 0.0373  2 Ho 3.11, 1 Ce 3.20
Te8 0.2379 0.7005 0.4759  2 Ho 3.11, 1 Ce 3.20
Ho1 0.5000 0.5000 0.0000  6 Te 3.11-3.13
Ho2 0.5000 0.5000 0.5000  6 Te 3.11-3.13
Ho3 0.0000 0.5000 0.5000  6 Te 3.11-3.13
Ce1 0.0000 0.5000 0.0000  6 Te 3.20

=====

[4]
DFT (PBE) results for a relaxed structure of Rb2CeHoTe4.

Results
ΔE_f (raw)   -1352.6 meV per atom
Symmetry   P2/m, No. 10

Cell lengths 4.6040, 7.9805, 8.9434 Å; angles 107.24, 90.00, 90.00 degrees
Last column: nearest neighbours and their distance in Å.
Fractional coordinates of all 8 atoms:
Te1 0.0000 0.2570 0.7971  1 Ho 3.12, 2 Ce 3.20
Te2 0.5000 0.2246 0.1994  2 Ho 3.13, 1 Ce 3.21
Te3 0.0000 0.7430 0.2029  1 Ho 3.12, 2 Ce 3.20
Te4 0.5000 0.7754 0.8006  2 Ho 3.13, 1 Ce 3.21
Ho1 0.0000 0.0000 0.0000  6 Te 3.12-3.13
Rb1 0.0000 0.5000 0.5000  6 Te 3.72-3.73
Rb2 0.5000 0.0000 0.5000  6 Te 3.65
Ce1 0.5000 0.5000 0.0000  6 Te 3.20-3.21

=====

[5]
DFT (PBE) results for a relaxed structure of Rb4Ce3HoTe8.

Results
ΔE_f (raw)   -1344.2 meV per atom
Symmetry   R-3m, No. 166

Cell lengths 9.3007, 10.0852, 9.3007 Å; angles 117.47, 120.00, 90.00 degrees
Last column: nearest neighbours and their distance in Å.
Fractional coordinates of all 16 atoms:
Rb1 0.5000 0.0000 0.5000  6 Te 3.68
Rb2 0.0000 0.0000 0.5000  6 Te 3.68
Rb3 0.0000 0.0000 0.0000  6 Te 3.68
Rb4 0.5000 0.0000 0.0000  6 Te 3.75
Ho1 0.0000 0.5000 0.0000  6 Te 3.13
Te1 0.7705 0.2983 0.5410  1 Ho 3.13, 2 Ce 3.22
Te2 0.7351 0.7054 0.4702  3 Ce 3.21
Te3 0.7425 0.7016 0.9721  1 Ho 3.13, 2 Ce 3.22
Te4 0.2296 0.7016 0.9721  1 Ho 3.13, 2 Ce 3.22
Te5 0.7704 0.2984 0.0279  1 Ho 3.13, 2 Ce 3.22
Te6 0.2295 0.7017 0.4590  1 Ho 3.13, 2 Ce 3.22
Te7 0.2575 0.2984 0.0279  1 Ho 3.13, 2 Ce 3.22
Te8 0.2649 0.2946 0.5298  3 Ce 3.21
Ce1 0.5000 0.5000 0.5000  6 Te 3.21-3.22
Ce2 0.0000 0.5000 0.5000  6 Te 3.21-3.22
Ce3 0.5000 0.5000 0.0000  6 Te 3.21-3.22

=====

[6]
DFT (PBE) results for a relaxed structure of Ce2HoRe9.

Results
ΔH_f (0 K)   13 kJ/mol of formula units
Symmetry   R-3m, No. 166

Cell lengths 5.2894, 5.2894, 9.6723 Å; angles 74.13, 74.13, 60.00 degrees
Last column: nearest neighbours and their distance in Å.
Fractional coordinates of all 12 atoms:
Ce1 0.8528 0.8528 0.4415  12 Re 3.10-3.25, 3 Ce 3.24
Ce2 0.1472 0.1472 0.5585  12 Re 3.10-3.25, 3 Ce 3.24
Re1 0.0787 0.5833 0.7546  7 Re 2.62-2.80
Re2 0.5833 0.5833 0.7546  7 Re 2.62-2.80
Re3 0.4167 0.9213 0.2454  7 Re 2.62-2.80
Re4 0.4167 0.4167 0.2454  7 Re 2.62-2.80
Re5 0.5000 0.5000 0.5000  6 Re 2.80, 6 Ce 3.10
Re6 0.9213 0.4167 0.2454  7 Re 2.62-2.80
Re7 0.5833 0.0787 0.7546  7 Re 2.62-2.80
Re8 0.6652 0.6652 0.0045  6 Re 2.69-2.75
Re9 0.3348 0.3348 0.9955  6 Re 2.69-2.75
Ho1 0.0000 0.0000 0.0000  6 Re 3.05